Sr2Li2ZnO4 | PBE | relaxed

Results
Symmetry: No. 12
Final energy in eV/atom: -5.166

Lattice parameters (Å, degrees): 3.2225 5.7274 6.5349 106.15 104.27 90.00
Last column: nearest neighbours and their distance in Å.
Fractional coordinates of all 9 atoms:
Zn 0.0000 0.0000 0.0000  4 O 2.14
O 0.7762 0.7803 0.5524  3 Li 1.96-2.15
O 0.4773 0.2258 0.9547  1 Li 2.05, 2 Zn 2.14
O 0.2238 0.2197 0.4476  3 Li 1.96-2.15
O 0.5227 0.7742 0.0453  1 Li 2.05, 2 Zn 2.14
Li 0.6756 0.0248 0.3513  4 O 1.96-2.15
Li 0.3244 0.9752 0.6487  4 O 1.96-2.15
Sr 0.8682 0.4488 0.7363  7 O 2.50-2.79
Sr 0.1318 0.5512 0.2637  7 O 2.50-2.79